[1]
4
Lattice="3.607 0.000 0.000 0.000 3.607 0.000 0.000 0.000 9.317" Properties=species:S:1:pos:R:3 comment="Gd2YIn PBE-GGA optimized geometry" polymorph_energy_ev_per_fu=0.29 crystal_system=tetragonal magmom_total_mub_per_atom=3.683 ef_ev_per_atom=-0.2254 pbc="T T T"
Gd 0.000 0.000 7.207
Gd 0.000 0.000 2.110
In 1.804 1.804 0.000
Y 1.804 1.804 4.658


[2]
3
Lattice="3.635 0.000 0.000 0.000 5.258 0.000 0.000 -2.629 4.553" Properties=species:S:1:pos:R:3 comment="GdYIn PBE-GGA optimized geometry" polymorph_energy_ev_per_fu=0.00 crystal_system=trigonal magmom_total_mub_per_atom=2.458 ef_ev_per_atom=-0.2457 pbc="T T T"
In 2.463 2.629 1.518
Gd 1.381 0.000 3.036
Y 3.425 0.000 0.000


[3]
4
Lattice="3.560 0.000 0.000 0.000 3.560 0.000 0.000 0.000 8.513" Properties=species:S:1:pos:R:3 comment="GdYIn2 PBE-GGA optimized geometry" crystal_system=tetragonal magmom_total_mub_per_atom=1.750 ef_ev_per_atom=-0.5024 pbc="T T T"
Gd 1.780 1.780 4.257
Y 1.780 1.780 0.000
In 0.000 0.000 2.108
In 0.000 0.000 6.406


[4]
4
Lattice="5.235 0.000 0.000 2.618 4.534 0.000 2.618 1.511 4.274" Properties=species:S:1:pos:R:3 comment="GdYZnIn PBE-GGA optimized geometry" crystal_system=cubic magmom_total_mub_per_atom=1.915 ef_ev_per_atom=-0.4194 pbc="T T T"
In 5.235 3.022 2.137
Gd 7.853 4.534 3.206
Zn 0.000 0.000 0.000
Y 2.618 1.511 1.069